1.
PrCd2GaAu2 | PBE-GGA | optimized geometry

Calculated values
total DFT energy (no corrections) = -16.907 eV for the cell shown
D(E_F) = 2.900 states/eV/f.u.
total moment = 0.000 Bohr magnetons per cell
symmetry = I4/mmm, No. 139

Cell: 5.3966 5.3966 6.7235 Å, 113.66 113.66 90.00°
Fractional positions:
Pr 0.5000 0.5000 0.0000
Cd 0.2500 0.7500 0.5000
Cd 0.7500 0.2500 0.5000
Ga 0.0000 0.0000 0.0000
Au 0.7771 0.7771 0.5542
Au 0.2229 0.2229 0.4458

2.
PrCd2Ga2Au2 | PBE-GGA | optimized geometry

Calculated values
total DFT energy (no corrections) = -22.246 eV for the cell shown
D(E_F) = 2.262 states/eV/f.u.
total moment = 0.000 Bohr magnetons per cell
symmetry = R-3m, No. 166

Cell: 4.5266 4.5266 8.9624 Å, 75.37 75.37 60.00°
Fractional positions:
Pr 0.0000 0.0000 0.0000
Cd 0.1390 0.1390 0.5829
Cd 0.8610 0.8610 0.4171
Ga 0.7416 0.7416 0.7752
Ga 0.2584 0.2584 0.2248
Au 0.5868 0.5868 0.2397
Au 0.4132 0.4132 0.7603

3.
PrCdGa2Au4 | PBE-GGA | optimized geometry

Calculated values
total DFT energy (no corrections) = -28.076 eV for the cell shown
D(E_F) = 4.780 states/eV/f.u.
total moment = 0.000 Bohr magnetons per cell
symmetry = R-3m, No. 166

Cell: 4.4989 4.4989 9.8814 Å, 76.84 76.84 60.00°
Fractional positions:
Pr 0.0000 0.0000 0.0000
Cd 0.5000 0.5000 0.5000
Ga 0.7507 0.7507 0.7480
Ga 0.2493 0.2493 0.2520
Au 0.3948 0.3948 0.8156
Au 0.8785 0.8785 0.3644
Au 0.1215 0.1215 0.6356
Au 0.6052 0.6052 0.1844

4.
Pu2CdGa3Au12 | PBE-GGA | optimized geometry

Calculated values
total DFT energy (no corrections) = -80.004 eV for the cell shown
D(E_F) = 37.344 states/eV/f.u.
total moment = 11.008 Bohr magnetons per cell
symmetry = R-3m, No. 166

Cell: 11.3154 11.3154 11.3154 Å, 33.93 33.93 33.93°
Fractional positions:
Pu 0.6384 0.6384 0.6384
Pu 0.3616 0.3616 0.3616
Cd 0.0000 0.0000 0.0000
Ga 0.5000 0.0000 0.0000
Ga 0.0000 0.5000 0.0000
Ga 0.0000 0.0000 0.5000
Au 0.4069 0.4069 0.8301
Au 0.8685 0.8685 0.4262
Au 0.4262 0.8685 0.8685
Au 0.8301 0.4069 0.4069
Au 0.8685 0.4262 0.8685
Au 0.4069 0.8301 0.4069
Au 0.5931 0.5931 0.1699
Au 0.1315 0.1315 0.5738
Au 0.5738 0.1315 0.1315
Au 0.1699 0.5931 0.5931
Au 0.1315 0.5738 0.1315
Au 0.5931 0.1699 0.5931

5.
PuCdGaAu | PBE-GGA | optimized geometry

Calculated values
total DFT energy (no corrections) = -22.741 eV for the cell shown
D(E_F) = 11.171 states/eV/f.u.
total moment = 5.504 Bohr magnetons per cell
symmetry = F-43m, No. 216

Cell: 4.9582 4.9582 4.9582 Å, 60.00 60.00 60.00°
Fractional positions:
Cd 0.7500 0.7500 0.7500
Au 0.5000 0.5000 0.5000
Ga 0.0000 0.0000 0.0000
Pu 0.2500 0.2500 0.2500

6.
Pu2CdGa3Au4 | PBE-GGA | optimized geometry

Calculated values
total DFT energy (no corrections) = -55.376 eV for the cell shown
D(E_F) = 29.513 states/eV/f.u.
total moment = 11.405 Bohr magnetons per cell
symmetry = P-4m2, No. 115

Cell: 4.3083 4.3083 11.5348 Å, 90.00 90.00 90.00°
Fractional positions:
Pu 0.5000 0.0000 0.2368
Pu 0.0000 0.5000 0.7632
Cd 0.5000 0.5000 0.5000
Ga 0.0000 0.0000 0.5000
Ga 0.5000 0.0000 0.8705
Ga 0.0000 0.5000 0.1295
Au 0.5000 0.5000 0.0000
Au 0.0000 0.0000 0.0000
Au 0.5000 0.0000 0.6525
Au 0.0000 0.5000 0.3475

Copy entry 6 word for word.
Pu2CdGa3Au4 | PBE-GGA | optimized geometry

Calculated values
total DFT energy (no corrections) = -55.376 eV for the cell shown
D(E_F) = 29.513 states/eV/f.u.
total moment = 11.405 Bohr magnetons per cell
symmetry = P-4m2, No. 115

Cell: 4.3083 4.3083 11.5348 Å, 90.00 90.00 90.00°
Fractional positions:
Pu 0.5000 0.0000 0.2368
Pu 0.0000 0.5000 0.7632
Cd 0.5000 0.5000 0.5000
Ga 0.0000 0.0000 0.5000
Ga 0.5000 0.0000 0.8705
Ga 0.0000 0.5000 0.1295
Au 0.5000 0.5000 0.0000
Au 0.0000 0.0000 0.0000
Au 0.5000 0.0000 0.6525
Au 0.0000 0.5000 0.3475

Repeat the fifth record exactly.
PuCdGaAu | PBE-GGA | optimized geometry

Calculated values
total DFT energy (no corrections) = -22.741 eV for the cell shown
D(E_F) = 11.171 states/eV/f.u.
total moment = 5.504 Bohr magnetons per cell
symmetry = F-43m, No. 216

Cell: 4.9582 4.9582 4.9582 Å, 60.00 60.00 60.00°
Fractional positions:
Cd 0.7500 0.7500 0.7500
Au 0.5000 0.5000 0.5000
Ga 0.0000 0.0000 0.0000
Pu 0.2500 0.2500 0.2500

Look up the D(E_F) of the second one. 2.262 states/eV/f.u.